The following is a DFT calculation (PBE) of crystalline Pr3Gd at its relaxed geometry.

Output
Excess energy over the best structure of this formula in the dataset   0.017 eV/atom
Fermi-level density of states   6.841 states/eV/cell
Symmetry   Pmm2, No. 25
ΔH_f (0 K)   25 meV/atom

a b c (Å): 3.7182 5.9711 6.4335
angles (deg): 90.00 90.00 90.00
Closest atoms and distances in Å follow each position.
Atoms (fractional coordinates):
Pr 0.0000 0.0000 0.0000  8 Pr 3.68-3.72, 4 Gd 3.71-3.72
Pr 0.0000 0.5000 0.3334  8 Pr 3.68-3.72, 4 Gd 3.68
Pr 0.5000 0.5000 0.8335  2 Gd 3.67, 10 Pr 3.68-3.72
Gd 0.5000 0.0000 0.5009  10 Pr 3.67-3.72, 2 Gd 3.72


The following is a DFT calculation (PBE) of crystalline Ba3Ge9Pd2 at its relaxed geometry.

Output
Fermi-level density of states   5.722 states/eV/cell
Symmetry   Immm, No. 71
ΔH_f (0 K)   -358 meV/atom

a b c (Å): 8.9822 8.9822 8.9822
angles (deg): 151.98 100.84 85.94
Closest atoms and distances in Å follow each position.
Atoms (fractional coordinates):
Ba 0.0000 0.0000 0.0000  12 Ge 3.47-3.74
Ba 0.3007 0.3007 0.0000  10 Ge 3.37-3.42, 2 Pd 3.51
Ba 0.6993 0.6993 0.0000  10 Ge 3.37-3.42, 2 Pd 3.51
Ge 0.0038 0.3468 0.6570  1 Pd 2.57, 3 Ge 2.66-2.87
Ge 0.1546 0.8662 0.2885  3 Ge 2.66-2.87, 2 Pd 2.80
Ge 0.3102 0.6532 0.6570  1 Pd 2.57, 3 Ge 2.66-2.87
Ge 0.4223 0.1338 0.2885  3 Ge 2.66-2.87, 2 Pd 2.80
Ge 0.5000 0.0000 0.5000  4 Ge 2.99, 4 Pd 3.19
Ge 0.5777 0.8662 0.7115  3 Ge 2.66-2.87, 2 Pd 2.80
Ge 0.6898 0.3468 0.3430  1 Pd 2.57, 3 Ge 2.66-2.87
Ge 0.8454 0.1338 0.7115  3 Ge 2.66-2.87, 2 Pd 2.80
Ge 0.9962 0.6532 0.3430  1 Pd 2.57, 3 Ge 2.66-2.87
Pd 0.2962 0.5000 0.7962  6 Ge 2.57-2.80
Pd 0.7038 0.5000 0.2038  6 Ge 2.57-2.80


The following is a DFT calculation (PBE) of crystalline SrLiBi at its relaxed geometry.

Output
Symmetry   P2_1/m, No. 11
ΔH_f (0 K)   -819 meV/atom

a b c (Å): 8.0451 4.8938 13.7172
angles (deg): 90.00 90.15 90.00
Closest atoms and distances in Å follow each position.
Atoms (fractional coordinates):
Sr 0.0058 0.2500 0.3085  5 Bi 3.41-3.47, 3 Li 3.42-3.43
Sr 0.3344 0.7500 0.9234  5 Bi 3.41-3.54, 3 Li 3.58-3.62
Sr 0.4919 0.7500 0.6296  5 Bi 3.44-3.45, 5 Li 3.58-3.85
Sr 0.5081 0.2500 0.3704  5 Bi 3.44-3.45, 5 Li 3.58-3.85
Sr 0.6656 0.2500 0.0766  5 Bi 3.41-3.54, 3 Li 3.58-3.62
Sr 0.9942 0.7500 0.6915  5 Bi 3.41-3.47, 3 Li 3.42-3.43
Li 0.0046 0.2500 0.9079  4 Bi 3.05-3.15, 1 Li 3.18
Li 0.1515 0.2500 0.5438  4 Bi 2.94-3.05
Li 0.3403 0.7500 0.2065  4 Bi 3.01-3.24, 1 Li 3.18
Li 0.6597 0.2500 0.7935  4 Bi 3.01-3.24, 1 Li 3.18
Li 0.8485 0.7500 0.4562  4 Bi 2.94-3.05
Li 0.9954 0.7500 0.0921  4 Bi 3.05-3.15, 1 Li 3.18
Bi 0.2254 0.7500 0.4329  4 Li 2.94-3.24
Bi 0.2269 0.2500 0.0969  5 Li 3.01-3.15
Bi 0.2770 0.2500 0.7536  3 Li 3.05-3.13, 2 Sr 3.41
Bi 0.7230 0.7500 0.2464  3 Li 3.05-3.13, 2 Sr 3.41
Bi 0.7731 0.7500 0.9031  5 Li 3.01-3.15
Bi 0.7746 0.2500 0.5671  4 Li 2.94-3.24


The following is a DFT calculation (PBE) of crystalline BaZnS2O8 at its relaxed geometry.

Output
Fermi-level density of states   0.000 states/eV/cell
Symmetry   P-3, No. 147
Raw formation energy   -1.8121 eV/atom

a b c (Å): 5.0365 5.0365 7.6907
angles (deg): 90.00 90.00 120.00
Closest atoms and distances in Å follow each position.
Atoms (fractional coordinates):
Ba 0.0000 0.0000 0.0000  12 O 2.96-2.99
Zn 0.0000 0.0000 0.5000  6 O 2.11
S 0.3333 0.6667 0.7321  4 O 1.49-1.50
S 0.6667 0.3333 0.2679  4 O 1.49-1.50
O 0.0888 0.3584 0.6739  1 S 1.49
O 0.2696 0.9112 0.6739  1 S 1.49
O 0.3333 0.6667 0.9271  1 S 1.50
O 0.3584 0.2696 0.3261  1 S 1.49
O 0.6416 0.7304 0.6739  1 S 1.49
O 0.6667 0.3333 0.0729  1 S 1.50
O 0.7304 0.0888 0.3261  1 S 1.49
O 0.9112 0.6416 0.3261  1 S 1.49


The following is a DFT calculation (PBE) of crystalline TbPm4Ga5 at its relaxed geometry.

Output
Fermi-level density of states   4.037 states/eV/cell
Symmetry   P4/mmm, No. 123
ΔH_f (0 K)   -573 meV/atom

a b c (Å): 3.6492 3.6492 18.2613
angles (deg): 90.00 90.00 90.00
Closest atoms and distances in Å follow each position.
Atoms (fractional coordinates):
Tb 0.0000 0.0000 0.0000  8 Ga 3.10
Pm 0.0000 0.0000 0.1968  8 Ga 3.17-3.19
Pm 0.0000 0.0000 0.3991  8 Ga 3.17
Pm 0.0000 0.0000 0.6009  8 Ga 3.17
Pm 0.0000 0.0000 0.8032  8 Ga 3.17-3.19
Ga 0.5000 0.5000 0.0944  4 Tb 3.10, 4 Pm 3.19, 1 Ga 3.45
Ga 0.5000 0.5000 0.2980  8 Pm 3.17
Ga 0.5000 0.5000 0.5000  8 Pm 3.17
Ga 0.5000 0.5000 0.7020  8 Pm 3.17
Ga 0.5000 0.5000 0.9056  4 Tb 3.10, 4 Pm 3.19, 1 Ga 3.45


The following is a DFT calculation (PBE) of crystalline BaNaSBr at its relaxed geometry.

Output
Excess energy over the best structure of this formula in the dataset   0.000 eV/atom
Fermi-level density of states   0.000 states/eV/cell
Symmetry   R-3m, No. 166
Raw formation energy   -1.7074 eV/atom

a b c (Å): 14.4475 14.4475 14.4475
angles (deg): 18.84 18.84 18.84
Closest atoms and distances in Å follow each position.
Atoms (fractional coordinates):
Ba 0.0867 0.0867 0.0867  3 Br 3.21, 3 S 3.27
Ba 0.9133 0.9133 0.9133  3 Br 3.21, 3 S 3.27
Na 0.3114 0.3114 0.3114  4 S 2.83-2.90
Na 0.6886 0.6886 0.6886  4 S 2.83-2.90
S 0.3779 0.3779 0.3779  4 Na 2.83-2.90
S 0.6221 0.6221 0.6221  4 Na 2.83-2.90
Br 0.2069 0.2069 0.2069  3 Ba 3.21
Br 0.7931 0.7931 0.7931  3 Ba 3.21


The following is a DFT calculation (PBE) of crystalline TcAuNF2 at its relaxed geometry.

Output
Excess energy over the best structure of this formula in the dataset   0.000 eV/atom
Fermi-level density of states   2.643 states/eV/cell
Symmetry   P4/mmm, No. 123
Raw formation energy   -0.2794 eV/atom

a b c (Å): 4.2266 4.2266 3.8000
angles (deg): 90.00 90.00 90.00
Closest atoms and distances in Å follow each position.
Atoms (fractional coordinates):
Tc 0.0000 0.0000 0.0000  2 N 1.90, 4 F 2.11
Au 0.5000 0.5000 0.5000  8 F 2.84, 4 N 2.99
N 0.0000 0.0000 0.5000  2 Tc 1.90
F 0.0000 0.5000 0.0000  2 Tc 2.11
F 0.5000 0.0000 0.0000  2 Tc 2.11


The following is a DFT calculation (PBE) of crystalline SnHgPd at its relaxed geometry.

Output
Excess energy over the best structure of this formula in the dataset   0.051 eV/atom
Fermi-level density of states   1.584 states/eV/cell
Symmetry   I4mm, No. 107
ΔH_f (0 K)   -167 meV/atom

a b c (Å): 6.6051 6.6051 6.6051
angles (deg): 151.69 151.69 40.46
Closest atoms and distances in Å follow each position.
Atoms (fractional coordinates):
Sn 0.0000 0.0000 0.0000  4 Pd 2.83
Hg 0.7118 0.7118 0.0000  4 Pd 2.97, 4 Hg 3.23
Pd 0.3646 0.3646 0.0000  4 Sn 2.83, 4 Hg 2.97


Number 1: final energy -7.08 eV per atom. Number 2: final energy -4.48 eV per atom. Number 3: final energy -3.31 eV per atom. Number 4: final energy -6.07 eV per atom. Number 5: final energy -4.45 eV per atom. Number 6: final energy -3.97 eV per atom. Number 7: final energy -5.42 eV per atom. Number 8: final energy -3.33 eV per atom.